Entry from Alexandria via LeMat-Bulk: a relaxed structure of Sc2VO4 (PBE with a Hubbard U).

## Properties
Crystal system: tetragonal
Space-group type: I4_1/amd
DOS(E_F) in states/eV/f.u.: 2.8
E_tot in eV per formula unit: -59.726

abc: 6.269 6.269 6.269
angles: 91.46 119.16 119.16
Element x y z (fractional)
V (0.000, 0.000, 0.000)
V (0.500, 0.750, 0.250)
Sc (0.250, 0.875, 0.625)
Sc (0.750, 0.375, 0.125)
Sc (0.750, 0.375, 0.625)
Sc (0.250, 0.375, 0.625)
O (0.725, 0.132, 0.857)
O (0.275, 0.143, 0.868)
O (0.775, 0.618, 0.393)
O (0.225, 0.607, 0.382)
O (0.725, 0.593, 0.868)
O (0.775, 0.157, 0.382)
O (0.275, 0.132, 0.407)
O (0.225, 0.618, 0.843)